# LiZrIn2 (SCAN, single point on PBEsol structure)
# spin magnetization = 0.0000 μB per atom
# calculated formation energy = -0.4444 eV per atom
data_LiZrIn2
_space_group_name_H-M_alt 'P 4/m m m'
_space_group_IT_number 123
_space_group_name_Hall '-P 4 2'
_cell_length_a 3.235
_cell_length_b 3.235
_cell_length_c 7.446
_cell_angle_alpha 90.00
_cell_angle_beta 90.00
_cell_angle_gamma 90.00
loop_
_atom_site_label
_atom_site_type_symbol
_atom_site_fract_x
_atom_site_fract_y
_atom_site_fract_z
Li1 Li 0.000 0.000 0.000
Zr1 Zr 0.000 0.000 0.500
In1 In 0.500 0.500 0.221